Sc2SiPd8: optimized geometry, PBE.

- space group = Immm (71)
- E_form (uncorrected) (eV per atom) = -0.729

Unit cell a=7.775 b=7.775 c=7.775 alpha=146.30 beta=136.58 gamma=56.06
Fractional coordinates of all 11 atoms:
Sc (0.189, 0.189, 0.000)
Sc (0.811, 0.811, 0.000)
Si (0.500, 0.500, 0.000)
Pd (0.110, 0.367, 0.743)
Pd (0.252, 0.000, 0.252)
Pd (0.314, 0.814, 0.500)
Pd (0.375, 0.633, 0.743)
Pd (0.625, 0.367, 0.257)
Pd (0.686, 0.186, 0.500)
Pd (0.748, 0.000, 0.748)
Pd (0.890, 0.633, 0.257)

***

Y2CdNi: optimized geometry, PBE.

- ΔE_f (eV/f.u.) = -1.1
- space group = P4/mmm (123)

Unit cell a=5.035 b=5.035 c=3.634 alpha=90.00 beta=90.00 gamma=90.00
Fractional coordinates of all 4 atoms:
Y (0.000, 0.500, 0.000)
Y (0.500, 0.000, 0.000)
Cd (0.000, 0.000, 0.500)
Ni (0.500, 0.500, 0.500)

***

ZrSc3Bi: optimized geometry, PBE.

- ΔE_f (eV/f.u.) = 3.1
- energy above the most stable polymorph in this dataset (kJ/mol of atoms) = 6.4
- space group = Pm-3m (221)

Unit cell a=5.396 b=5.396 c=5.396 alpha=90.00 beta=90.00 gamma=90.00
Fractional coordinates of all 5 atoms:
Zr (0.000, 0.000, 0.000)
Sc (0.000, 0.500, 0.500)
Sc (0.500, 0.000, 0.500)
Sc (0.500, 0.500, 0.000)
Bi (0.500, 0.500, 0.500)

***

CdInW2: optimized geometry, PBE.

- ΔE_f (eV/f.u.) = 2.5
- energy above the most stable polymorph in this dataset (kJ/mol of atoms) = 20.0
- space group = Imm2 (44)

Unit cell a=5.515 b=5.515 c=5.515 alpha=144.39 beta=128.26 gamma=64.39
Fractional coordinates of all 4 atoms:
Cd (0.000, 0.000, 0.000)
In (0.267, 0.767, 0.500)
W (0.533, 0.533, 0.000)
W (0.734, 0.234, 0.500)

***

Ba2DyThAs4: optimized geometry, PBE.

- ΔE_f (eV/f.u.) = -9.8
- space group = P2/m (10)

Unit cell a=7.582 b=4.411 c=7.944 alpha=90.00 beta=108.74 gamma=90.00
Fractional coordinates of all 8 atoms:
Ba (0.000, 0.000, 0.000)
Ba (0.500, 0.500, 0.000)
Dy (0.000, 0.500, 0.500)
Th (0.500, 0.000, 0.500)
As (0.234, 0.000, 0.710)
As (0.261, 0.500, 0.288)
As (0.739, 0.500, 0.712)
As (0.766, 0.000, 0.290)

***

BaAuCl: optimized geometry, PBE.

- energy above the most stable polymorph in this dataset (kJ/mol of atoms) = 26.4
- space group = Amm2 (38)
- E_form (uncorrected) (eV per atom) = -1.302

Unit cell a=4.745 b=4.982 c=4.982 alpha=68.57 beta=90.00 gamma=90.00
Fractional coordinates of all 3 atoms:
Ba (0.000, 0.000, 0.000)
Au (0.500, 0.290, 0.290)
Cl (0.000, 0.634, 0.634)

***

Ordered final energy results: -67.65; -20.69; -28.30; -27.03; -44.25; -10.95; unit eV per cell.